# MnAlGe2O6, relaxed, DFT PBE+U
# DFT total energy = -6.828 eV per atom
# M_tot = 0.495 μB per atom
# V = 11.46 A^3/atom
data_MnAlGe2O6
_cell_length_a 5.386
_cell_length_b 6.575
_cell_length_c 6.575
_cell_angle_alpha 88.08
_cell_angle_beta 82.93
_cell_angle_gamma 82.93
_space_group_name_H-M_alt 'P 1'
_space_group_IT_number 1
loop_
_space_group_symop_operation_xyz
'x,y,z'
loop_
_atom_site_label
_atom_site_fract_x
_atom_site_fract_y
_atom_site_fract_z
O1 0.367 0.553 0.716
O2 0.852 0.010 0.227
Ge1 0.207 0.783 0.588
Mn1 0.750 0.090 0.910
O3 0.133 0.284 0.447
O4 0.148 0.990 0.773
O5 0.867 0.716 0.553
O6 0.648 0.773 0.990
Al1 0.250 0.270 0.730
Al2 0.750 0.730 0.270
Mn2 0.250 0.910 0.090
O7 0.352 0.227 0.010
O8 0.920 0.368 0.841
O9 0.580 0.159 0.632
O10 0.633 0.447 0.284
Ge2 0.293 0.412 0.217
O11 0.080 0.632 0.159
Ge3 0.707 0.588 0.783
O12 0.420 0.841 0.368
Ge4 0.793 0.217 0.412